Record 1
First-principles (PBE) data for an optimized crystal structure of Ba2BeSnAu6, as listed in Alexandria via LeMat-Bulk.

a = 6.807 Å, b = 7.137 Å, c = 7.142 Å
α = 91.06°, β = 118.41°, γ = 118.43°
Fractional coordinates of all 10 atoms:
Ba: 0.001 0.218 0.283
Ba: 0.999 0.782 0.717
Be: 0.500 0.500 0.000
Sn: 0.500 0.000 0.500
Au: 0.037 0.305 0.806
Au: 0.428 0.696 0.195
Au: 0.499 0.274 0.224
Au: 0.501 0.726 0.776
Au: 0.572 0.304 0.805
Au: 0.963 0.695 0.194

Uncorrected energy in eV per cell: -36.2
E_form in meV/atom: -498


Record 2
First-principles (PBE) data for an optimized crystal structure of Tb3Co3Ru, as listed in Alexandria via LeMat-Bulk.

a = 5.485 Å, b = 5.485 Å, c = 12.593 Å
α = 90.00°, β = 90.00°, γ = 135.65°
Fractional coordinates of all 14 atoms:
Tb: 0.014 0.986 0.750
Tb: 0.277 0.723 0.105
Tb: 0.277 0.723 0.395
Tb: 0.723 0.277 0.605
Tb: 0.723 0.277 0.895
Tb: 0.986 0.014 0.250
Co: 0.319 0.681 0.750
Co: 0.433 0.567 0.590
Co: 0.433 0.567 0.910
Co: 0.567 0.433 0.090
Co: 0.567 0.433 0.410
Co: 0.681 0.319 0.250
Ru: 0.000 0.000 0.000
Ru: 0.000 0.000 0.500

Uncorrected energy in eV per cell: -92.0
E_form in meV/atom: -219


Record 3
First-principles (PBE) data for an optimized crystal structure of CdSbTe2, as listed in Alexandria via LeMat-Bulk.

a = 4.123 Å, b = 4.123 Å, c = 8.292 Å
α = 90.00°, β = 90.00°, γ = 116.59°
Fractional coordinates of all 4 atoms:
Cd: 0.000 0.000 0.000
Sb: 0.000 0.000 0.500
Te: 0.500 0.500 0.244
Te: 0.500 0.500 0.756

Uncorrected energy in eV per cell: -10.8
Polymorph energy (0 for the lowest one) in meV per atom: 283
Energy relative to the elements, uncorrected in eV/f.u.: 0.5


Record 4
First-principles (PBE) data for an optimized crystal structure of Cr3MoW, as listed in Alexandria via LeMat-Bulk.

a = 4.582 Å, b = 4.582 Å, c = 4.582 Å
α = 90.00°, β = 90.00°, γ = 90.00°
Fractional coordinates of all 5 atoms:
Cr: 0.000 0.000 0.500
Cr: 0.000 0.500 0.000
Cr: 0.500 0.000 0.000
Mo: 0.500 0.500 0.500
W: 0.000 0.000 0.000

Uncorrected energy in eV per cell: -43.7
Polymorph energy (0 for the lowest one) in meV per atom: 1370
E_form in meV/atom: 1782


Record 5
First-principles (PBE) data for an optimized crystal structure of RbTc3N, as listed in Alexandria via LeMat-Bulk.

a = 4.288 Å, b = 4.288 Å, c = 4.288 Å
α = 90.00°, β = 90.00°, γ = 90.00°
Fractional coordinates of all 5 atoms:
Rb: 0.000 0.000 0.000
Tc: 0.000 0.500 0.500
Tc: 0.500 0.000 0.500
Tc: 0.500 0.500 0.000
N: 0.500 0.500 0.500

Uncorrected energy in eV per cell: -34.1
Polymorph energy (0 for the lowest one) in meV per atom: 0
Energy relative to the elements, uncorrected in eV/f.u.: 6.2


Record 6
First-principles (PBE) data for an optimized crystal structure of TbYTl4, as listed in Alexandria via LeMat-Bulk.

a = 5.021 Å, b = 5.021 Å, c = 7.648 Å
α = 90.05°, β = 90.05°, γ = 89.96°
Fractional coordinates of all 6 atoms:
Tb: 0.000 0.000 0.000
Y: 0.500 0.500 0.500
Tl: 0.000 0.500 0.250
Tl: 0.000 0.500 0.750
Tl: 0.500 0.000 0.250
Tl: 0.500 0.000 0.750

Uncorrected energy in eV per cell: -20.6
E_form in meV/atom: -5


Record 7
First-principles (PBE) data for an optimized crystal structure of TlAu2, as listed in Alexandria via LeMat-Bulk.

a = 5.420 Å, b = 5.420 Å, c = 5.420 Å
α = 140.47°, β = 140.47°, γ = 57.14°
Fractional coordinates of all 3 atoms:
Tl: 0.000 0.000 0.000
Au: 0.321 0.321 0.000
Au: 0.679 0.679 0.000

Uncorrected energy in eV per cell: -8.7
Polymorph energy (0 for the lowest one) in meV per atom: 70
E_form in meV/atom: 72


Record 8
First-principles (PBE) data for an optimized crystal structure of Ba12As3F5, as listed in Alexandria via LeMat-Bulk.

a = 15.503 Å, b = 15.503 Å, c = 15.503 Å
α = 109.47°, β = 109.47°, γ = 109.47°
Fractional coordinates of all 80 atoms:
Ba: 0.029 0.215 0.123
Ba: 0.029 0.314 0.906
Ba: 0.092 0.715 0.686
Ba: 0.092 0.877 0.406
Ba: 0.094 0.623 0.408
Ba: 0.094 0.971 0.686
Ba: 0.123 0.029 0.215
Ba: 0.123 0.594 0.908
Ba: 0.186 0.215 0.592
Ba: 0.186 0.471 0.594
Ba: 0.215 0.123 0.029
Ba: 0.215 0.592 0.186
Ba: 0.285 0.314 0.908
Ba: 0.285 0.471 0.377
Ba: 0.314 0.906 0.029
Ba: 0.314 0.908 0.285
Ba: 0.377 0.285 0.471
Ba: 0.377 0.592 0.906
Ba: 0.406 0.092 0.877
Ba: 0.406 0.814 0.529
Ba: 0.408 0.094 0.623
Ba: 0.408 0.814 0.785
Ba: 0.471 0.377 0.285
Ba: 0.471 0.594 0.186
Ba: 0.529 0.406 0.814
Ba: 0.529 0.623 0.715
Ba: 0.592 0.186 0.215
Ba: 0.592 0.906 0.377
Ba: 0.594 0.186 0.471
Ba: 0.594 0.908 0.123
Ba: 0.623 0.408 0.094
Ba: 0.623 0.715 0.529
Ba: 0.686 0.092 0.715
Ba: 0.686 0.094 0.971
Ba: 0.715 0.529 0.623
Ba: 0.715 0.686 0.092
Ba: 0.785 0.408 0.814
Ba: 0.785 0.877 0.971
Ba: 0.814 0.529 0.406
Ba: 0.814 0.785 0.408
Ba: 0.877 0.406 0.092
Ba: 0.877 0.971 0.785
Ba: 0.906 0.029 0.314
Ba: 0.906 0.377 0.592
Ba: 0.908 0.123 0.594
Ba: 0.908 0.285 0.314
Ba: 0.971 0.686 0.094
Ba: 0.971 0.785 0.877
As: 0.125 0.250 0.375
As: 0.125 0.375 0.750
As: 0.250 0.375 0.125
As: 0.250 0.875 0.625
As: 0.375 0.125 0.250
As: 0.375 0.750 0.125
As: 0.625 0.250 0.875
As: 0.625 0.875 0.750
As: 0.750 0.125 0.375
As: 0.750 0.625 0.875
As: 0.875 0.625 0.250
As: 0.875 0.750 0.625
F: 0.000 0.000 0.000
F: 0.000 0.000 0.500
F: 0.000 0.500 0.000
F: 0.000 0.500 0.500
F: 0.125 0.750 0.875
F: 0.125 0.875 0.250
F: 0.250 0.125 0.875
F: 0.250 0.625 0.375
F: 0.375 0.250 0.625
F: 0.375 0.625 0.750
F: 0.500 0.000 0.000
F: 0.500 0.000 0.500
F: 0.500 0.500 0.000
F: 0.500 0.500 0.500
F: 0.625 0.375 0.250
F: 0.625 0.750 0.375
F: 0.750 0.375 0.625
F: 0.750 0.875 0.125
F: 0.875 0.125 0.750
F: 0.875 0.250 0.125

Uncorrected energy in eV per cell: -319.9
Energy relative to the elements, uncorrected in eV/f.u.: -33.6


Record 9
First-principles (PBE) data for an optimized crystal structure of Pu2NiAs4Pd3, as listed in Alexandria via LeMat-Bulk.

a = 4.381 Å, b = 4.381 Å, c = 9.804 Å
α = 90.00°, β = 90.00°, γ = 90.00°
Fractional coordinates of all 10 atoms:
Pu: 0.000 0.500 0.250
Pu: 0.500 0.000 0.750
Ni: 0.000 0.000 0.500
As: 0.000 0.000 0.000
As: 0.000 0.500 0.625
As: 0.500 0.000 0.375
As: 0.500 0.500 0.000
Pd: 0.000 0.500 0.874
Pd: 0.500 0.000 0.126
Pd: 0.500 0.500 0.500

Uncorrected energy in eV per cell: -74.5
E_form in meV/atom: -592


Record 10
First-principles (PBE) data for an optimized crystal structure of Rb2Cu2Hg, as listed in Alexandria via LeMat-Bulk.

a = 7.489 Å, b = 7.489 Å, c = 5.370 Å
α = 90.00°, β = 90.00°, γ = 90.00°
Fractional coordinates of all 10 atoms:
Rb: 0.182 0.318 0.000
Rb: 0.318 0.818 0.000
Rb: 0.682 0.182 0.000
Rb: 0.818 0.682 0.000
Cu: 0.116 0.616 0.500
Cu: 0.384 0.116 0.500
Cu: 0.616 0.884 0.500
Cu: 0.884 0.384 0.500
Hg: 0.000 0.000 0.500
Hg: 0.500 0.500 0.500

Uncorrected energy in eV per cell: -18.2
Polymorph energy (0 for the lowest one) in meV per atom: 37
E_form in meV/atom: 262


Record 11
First-principles (PBE) data for an optimized crystal structure of AcSmCu, as listed in Alexandria via LeMat-Bulk.

a = 6.941 Å, b = 6.941 Å, c = 6.941 Å
α = 148.84°, β = 148.84°, γ = 44.65°
Fractional coordinates of all 3 atoms:
Ac: 0.000 0.000 0.000
Sm: 0.275 0.275 0.000
Cu: 0.660 0.660 0.000

Uncorrected energy in eV per cell: -13.1
Polymorph energy (0 for the lowest one) in meV per atom: 5
E_form in meV/atom: -47


Record 12
First-principles (PBE) data for an optimized crystal structure of Pm4Sn2As, as listed in Alexandria via LeMat-Bulk.

a = 9.074 Å, b = 9.074 Å, c = 9.074 Å
α = 145.54°, β = 145.54°, γ = 49.53°
Fractional coordinates of all 7 atoms:
Pm: 0.000 0.500 0.500
Pm: 0.175 0.175 0.000
Pm: 0.500 0.000 0.500
Pm: 0.825 0.825 0.000
Sn: 0.368 0.368 0.000
Sn: 0.632 0.632 0.000
As: 0.000 0.000 0.000

Uncorrected energy in eV per cell: -36.0
E_form in meV/atom: -621


Record 13
First-principles (PBE) data for an optimized crystal structure of YHo2Hg5, as listed in Alexandria via LeMat-Bulk.

a = 8.164 Å, b = 8.164 Å, c = 8.164 Å
α = 142.91°, β = 142.91°, γ = 53.47°
Fractional coordinates of all 8 atoms:
Y: 0.000 0.000 0.000
Ho: 0.264 0.264 0.000
Ho: 0.736 0.736 0.000
Hg: 0.126 0.626 0.500
Hg: 0.374 0.874 0.500
Hg: 0.500 0.500 0.000
Hg: 0.626 0.126 0.500
Hg: 0.874 0.374 0.500

Uncorrected energy in eV per cell: -20.5
E_form in meV/atom: -423


Record 14
First-principles (PBE) data for an optimized crystal structure of Ag2Ge2Te, as listed in Alexandria via LeMat-Bulk.

a = 8.392 Å, b = 8.392 Å, c = 3.043 Å
α = 90.00°, β = 90.00°, γ = 90.00°
Fractional coordinates of all 10 atoms:
Ag: 0.117 0.383 0.000
Ag: 0.383 0.883 0.000
Ag: 0.617 0.117 0.000
Ag: 0.883 0.617 0.000
Ge: 0.184 0.684 0.500
Ge: 0.316 0.184 0.500
Ge: 0.684 0.816 0.500
Ge: 0.816 0.316 0.500
Te: 0.000 0.000 0.500
Te: 0.500 0.500 0.500

Uncorrected energy in eV per cell: -34.1
Polymorph energy (0 for the lowest one) in meV per atom: 0
Energy relative to the elements, uncorrected in eV/f.u.: 1.0


Record 15
First-principles (PBE) data for an optimized crystal structure of CdHg2AsOs, as listed in Alexandria via LeMat-Bulk.

a = 5.218 Å, b = 5.218 Å, c = 5.259 Å
α = 90.00°, β = 90.00°, γ = 90.00°
Fractional coordinates of all 5 atoms:
Cd: 0.000 0.000 0.000
Hg: 0.000 0.500 0.500
Hg: 0.500 0.000 0.500
As: 0.500 0.500 0.000
Os: 0.000 0.000 0.500

Uncorrected energy in eV per cell: -11.9
E_form in meV/atom: 1107


Record 16
First-principles (PBE) data for an optimized crystal structure of Pr5Ge2S2, as listed in Alexandria via LeMat-Bulk.

a = 8.396 Å, b = 8.396 Å, c = 7.947 Å
α = 90.00°, β = 90.00°, γ = 55.61°
Fractional coordinates of all 18 atoms:
Pr: 0.000 0.000 0.000
Pr: 0.031 0.686 0.662
Pr: 0.186 0.531 0.162
Pr: 0.314 0.969 0.662
Pr: 0.469 0.814 0.162
Pr: 0.500 0.500 0.500
Pr: 0.531 0.186 0.838
Pr: 0.686 0.031 0.338
Pr: 0.814 0.469 0.838
Pr: 0.969 0.314 0.338
Ge: 0.125 0.875 0.374
Ge: 0.375 0.625 0.874
Ge: 0.625 0.375 0.126
Ge: 0.875 0.125 0.626
S: 0.196 0.196 0.000
S: 0.304 0.304 0.500
S: 0.696 0.696 0.500
S: 0.804 0.804 0.000

Uncorrected energy in eV per cell: -105.0
Energy relative to the elements, uncorrected in eV/f.u.: -11.1


Record 17
First-principles (PBE) data for an optimized crystal structure of Mn2ZnPd4, as listed in Alexandria via LeMat-Bulk.

a = 6.749 Å, b = 6.749 Å, c = 6.603 Å
α = 117.42°, β = 117.42°, γ = 23.95°
Fractional coordinates of all 7 atoms:
Mn: 0.227 0.227 0.171
Mn: 0.773 0.773 0.829
Zn: 0.000 0.000 0.000
Pd: 0.086 0.086 0.727
Pd: 0.369 0.369 0.617
Pd: 0.631 0.631 0.383
Pd: 0.914 0.914 0.273

Uncorrected energy in eV per cell: -41.4
Polymorph energy (0 for the lowest one) in meV per atom: 28
E_form in meV/atom: -151


Record 18
First-principles (PBE) data for an optimized crystal structure of SiSbRh2, as listed in Alexandria via LeMat-Bulk.

a = 4.458 Å, b = 4.458 Å, c = 4.458 Å
α = 60.00°, β = 60.00°, γ = 60.00°
Fractional coordinates of all 4 atoms:
Si: 0.000 0.000 0.000
Sb: 0.500 0.500 0.500
Rh: 0.250 0.250 0.250
Rh: 0.750 0.750 0.750

Uncorrected energy in eV per cell: -25.1
Polymorph energy (0 for the lowest one) in meV per atom: 271
Energy relative to the elements, uncorrected in eV/f.u.: -0.9


Record 19
First-principles (PBE) data for an optimized crystal structure of Np4P, as listed in Alexandria via LeMat-Bulk.

a = 5.130 Å, b = 5.130 Å, c = 5.130 Å
α = 90.00°, β = 90.00°, γ = 90.00°
Fractional coordinates of all 5 atoms:
Np: 0.000 0.000 0.000
Np: 0.000 0.500 0.500
Np: 0.500 0.000 0.500
Np: 0.500 0.500 0.000
P: 0.500 0.500 0.500

Uncorrected energy in eV per cell: -53.4
E_form in meV/atom: 764


Record 20
First-principles (PBE) data for an optimized crystal structure of MgHg2Pt2, as listed in Alexandria via LeMat-Bulk.

a = 7.963 Å, b = 7.963 Å, c = 3.082 Å
α = 90.00°, β = 90.00°, γ = 90.00°
Fractional coordinates of all 10 atoms:
Mg: 0.000 0.000 0.000
Mg: 0.500 0.500 0.000
Hg: 0.131 0.369 0.000
Hg: 0.369 0.869 0.000
Hg: 0.631 0.131 0.000
Hg: 0.869 0.631 0.000
Pt: 0.170 0.670 0.500
Pt: 0.330 0.170 0.500
Pt: 0.670 0.830 0.500
Pt: 0.830 0.330 0.500

Uncorrected energy in eV per cell: -29.3
Polymorph energy (0 for the lowest one) in meV per atom: 169
E_form in meV/atom: -77


Record 21
First-principles (PBE) data for an optimized crystal structure of ScFe2W, as listed in Alexandria via LeMat-Bulk.

a = 4.780 Å, b = 2.665 Å, c = 5.093 Å
α = 90.00°, β = 113.84°, γ = 90.00°
Fractional coordinates of all 4 atoms:
Sc: 0.000 0.000 0.000
Fe: 0.000 0.000 0.500
Fe: 0.500 0.500 0.000
W: 0.500 0.500 0.500

Uncorrected energy in eV per cell: -34.9
E_form in meV/atom: 328


Record 22
First-principles (PBE) data for an optimized crystal structure of CaNbAu, as listed in Alexandria via LeMat-Bulk.

a = 3.467 Å, b = 4.500 Å, c = 8.710 Å
α = 90.00°, β = 90.00°, γ = 90.00°
Fractional coordinates of all 6 atoms:
Ca: 0.250 0.250 0.143
Ca: 0.750 0.750 0.857
Nb: 0.250 0.750 0.488
Nb: 0.750 0.250 0.512
Au: 0.250 0.250 0.763
Au: 0.750 0.750 0.237

Uncorrected energy in eV per cell: -32.0
Polymorph energy (0 for the lowest one) in meV per atom: 21
E_form in meV/atom: -217